[1]
Density functional theory data (PBE) for crystalline TbTm2Sc3S6 at its relaxed geometry.

Lattice parameters (Å, degrees): 6.5598 6.5598 6.5469 99.55 99.55 120.17
Atoms (fractional coordinates):
1 Sc 0.1634 0.8366 0.5000
2 S 0.0876 0.4263 0.2631
3 Sc 0.8366 0.1634 0.5000
4 Tm 0.6661 0.3339 0.0000
5 Tb 0.0000 0.0000 0.0000
6 S 0.4263 0.0876 0.2631
7 S 0.9124 0.5737 0.7369
8 Tm 0.3339 0.6661 0.0000
9 Sc 0.5000 0.5000 0.5000
10 S 0.7489 0.7489 0.2618
11 S 0.5737 0.9124 0.7369
12 S 0.2511 0.2511 0.7382

Its uncorrected formation energy is -1910 meV per atom. The symmetry is C2/m, No. 12. The total magnetization comes out at 0.00 μB/f.u.

***

[2]
Density functional theory data (PBE) for crystalline KSr2Au at its relaxed geometry.

Lattice parameters (Å, degrees): 4.5853 4.5853 11.1401 78.12 78.12 60.00
Atoms (fractional coordinates):
1 Sr 0.0517 0.0517 0.8448
2 Au 0.6664 0.6664 0.0009
3 K 0.5006 0.5006 0.4983
4 Sr 0.2813 0.2813 0.1560

The symmetry is R3m, No. 160. For the calculated formation energy, the calculation gives -0.39 eV/atom. The total magnetization comes out at 0.00 μB/f.u.

***

[3]
Density functional theory data (PBE) for crystalline Ba4InI2 at its relaxed geometry.

Lattice parameters (Å, degrees): 4.7355 8.4940 17.5674 90.00 90.00 106.19
Atoms (fractional coordinates):
1 Ba 0.7969 0.5938 0.3644
2 I 0.1486 0.2972 0.4394
3 Ba 0.9340 0.8681 0.7500
4 Ba 0.0660 0.1319 0.2500
5 I 0.8514 0.7028 0.9394
6 Ba 0.7969 0.5938 0.1356
7 I 0.8514 0.7028 0.5606
8 Ba 0.2031 0.4062 0.6357
9 Ba 0.2031 0.4062 0.8644
10 Ba 0.5000 0.0000 0.0000
11 Ba 0.5000 0.0000 0.5000
12 In 0.4056 0.8111 0.2500
13 I 0.1486 0.2972 0.0606
14 In 0.5944 0.1889 0.7500

Its uncorrected formation energy is -863 meV per atom. The symmetry is Cmcm, No. 63. The total magnetization comes out at 0.99 μB/f.u.

***

[4]
Density functional theory data (PBE) for crystalline TlFe2Tc at its relaxed geometry.

Lattice parameters (Å, degrees): 4.6576 4.6576 4.8302 77.28 77.28 36.66
Atoms (fractional coordinates):
1 Tl 0.2542 0.2542 0.2355
2 Tc 0.4860 0.4860 0.5568
3 Fe 0.7439 0.7439 0.7461
4 Fe 0.0160 0.0160 0.9616

The symmetry is Cm, No. 8. For the calculated formation energy, the calculation gives 0.51 eV/atom. The total magnetization comes out at 4.16 μB/f.u.

***

[5]
Density functional theory data (PBE) for crystalline ZrRe2Cl at its relaxed geometry.

Lattice parameters (Å, degrees): 5.2285 2.9317 4.5356 91.10 90.00 90.00
Atoms (fractional coordinates):
1 Re 0.0000 0.5589 0.4930
2 Cl 0.5000 0.7500 0.7500
3 Zr 0.5000 0.2500 0.2500
4 Re 0.0000 0.9411 0.0070

Its uncorrected formation energy is 355 meV per atom. The symmetry is P2/m, No. 10. The total magnetization comes out at 0.00 μB/f.u.

***

[6]
Density functional theory data (PBE) for crystalline Pr3TlOs at its relaxed geometry.

Lattice parameters (Å, degrees): 5.5795 5.5795 5.5795 90.00 90.00 90.00
Atoms (fractional coordinates):
1 Tl 0.5000 0.5000 0.5000
2 Pr 0.0000 0.5000 0.0000
3 Pr 0.0000 0.0000 0.5000
4 Os 0.0000 0.0000 0.0000
5 Pr 0.5000 0.0000 0.0000

The symmetry is Pm-3m, No. 221. For the calculated formation energy, the calculation gives 0.02 eV/atom. The total magnetization comes out at 0.00 μB/f.u.